(1)
Computed, not measured: a PBEsol-optimized structure of Fe3Co5 at the SCAN level of DFT.

E_tot (eV/atom): -17.715

abc: 4.6119 3.9413 4.8147
angles: 90.00 100.05 90.00
Space group P2/m (No. 10)
Inequivalent atoms, fractional coordinates:
Fe1 0.0000 0.0000 0.0000
Fe2 0.2510 0.5000 0.8731
Co1 0.0000 0.0000 0.5000
Co2 0.2473 0.5000 0.3745
Co3 0.4994 0.0000 0.2531

=====

(2)
Computed, not measured: a PBEsol-optimized structure of MgZr2Au at the SCAN level of DFT.

E_tot (eV/atom): -34.128

abc: 6.8340 6.8340 6.8340
angles: 90.00 90.00 90.00
Space group F-43m (No. 216)
Inequivalent atoms, fractional coordinates:
Mg1 0.0000 0.0000 0.0000
Zr1 0.0000 0.0000 0.5000
Zr2 0.2500 0.2500 0.7500
Au1 0.2500 0.2500 0.2500

=====

(3)
Computed, not measured: a PBEsol-optimized structure of Cu3Pt2 at the SCAN level of DFT.

E_tot (eV/atom): -37.278
Energy above the most stable polymorph in this dataset (eV per atom): 0.066

abc: 8.8368 12.6812 4.6415
angles: 90.00 90.00 90.00
Space group Fdd2 (No. 43)
Inequivalent atoms, fractional coordinates:
Cu1 0.0000 0.0000 0.0000
Cu2 0.0335 0.4021 0.0335
Pt1 0.0239 0.3021 0.5545

=====

(4)
Computed, not measured: a PBEsol-optimized structure of BaTa2Ru at the SCAN level of DFT.

E_tot (eV/atom): -50.659
Energy above the most stable polymorph in this dataset (eV per atom): 0.863

abc: 3.9715 3.9715 10.1612
angles: 90.00 90.00 90.00
Space group I4/mmm (No. 139)
Inequivalent atoms, fractional coordinates:
Ba1 0.0000 0.0000 0.0000
Ta1 0.0000 0.5000 0.2500
Ru1 0.0000 0.0000 0.5000

=====

(5)
Computed, not measured: a PBEsol-optimized structure of TlZn2Ru at the SCAN level of DFT.

E_tot (eV/atom): -33.350
Energy above the most stable polymorph in this dataset (eV per atom): 0.000

abc: 3.7526 3.8784 8.5104
angles: 90.00 90.00 90.00
Space group Imm2 (No. 44)
Inequivalent atoms, fractional coordinates:
Tl1 0.0000 0.0000 0.0000
Zn1 0.0000 0.0000 0.5010
Zn2 0.0000 0.5000 0.7524
Ru1 0.0000 0.5000 0.2474

=====

(6)
Computed, not measured: a PBEsol-optimized structure of KNa3Cu at the SCAN level of DFT.

E_tot (eV/atom): -7.019

abc: 5.6494 5.6494 5.6494
angles: 90.00 90.00 90.00
Space group Pm-3m (No. 221)
Inequivalent atoms, fractional coordinates:
K1 0.0000 0.0000 0.0000
Na1 0.0000 0.5000 0.5000
Cu1 0.5000 0.5000 0.5000

=====

Number 1: Fermi-level density of states 5.35 states/eV/f.u., total moment 17.6 μB/cell. Number 2: Fermi-level density of states 2.03 states/eV/f.u., total moment 12.0 μB/cell. Number 3: Fermi-level density of states 2.55 states/eV/f.u., total moment 0.0 μB/cell. Number 4: Fermi-level density of states 3.51 states/eV/f.u., total moment 0.0 μB/cell. Number 5: Fermi-level density of states 1.29 states/eV/f.u., total moment 1.5 μB/cell. Number 6: Fermi-level density of states 2.20 states/eV/f.u., total moment 0.0 μB/cell.